This record from the Alexandria database describes an optimized crystal structure of LaNd2MoO8. The functional is PBE+U.

Properties
- M_tot: 0.08 μB per atom
- Total energy: -7.68 eV/atom

Unit cell a=5.2016 b=5.2026 c=7.1603 alpha=90.00 beta=90.00 gamma=90.57
Last column: magnetic moment on the atom in μB.
Element x y z (fractional)
O: 0.8210 0.1794 0.2008  0.08
O: 0.3111 0.3104 0.5000  0.10
O: 0.7330 0.7334 0.0000  0.15
O: 0.8210 0.1794 0.7992  0.08
O: 0.1790 0.8206 0.7992  0.08
O: 0.1790 0.8206 0.2008  0.08
O: 0.2670 0.2666 0.0000  0.15
O: 0.6889 0.6896 0.5000  0.10
La: 0.0000 0.0000 0.5000  0.01
Nd: 0.5000 0.5000 0.2431  -0.01
Nd: 0.5000 0.5000 0.7569  -0.01
Mo: 0.0000 0.0000 0.0000  -0.09